Computed, not measured: a geometry-optimized Sm2Mn2O5 structure at the PBE with a Hubbard U level of DFT.

* VASP energy: -143.3 eV for the cell shown

Cell: 12.0590 3.8990 6.3911 Å, 90.00 120.18 90.00°
Space group C2/m (No. 12)
Unique sites:
Sm  0.1153  0.0000  0.2749 x4
Mn  0.1406  0.5000  0.8351 x4
O  0.0000  0.5000  0.0000 x2
O  0.1384  0.0000  0.9289 x4
O  0.1606  0.5000  0.5246 x4